Material: HfHgGe2
Method: DFT, GGA-PBE
State: optimized geometry

Cell: 6.893 6.893 6.893 Å, 90.00 90.00 90.00°
Fractional coordinates of all 16 atoms:
Hf (0.000, 0.000, 0.000)
Hf (0.000, 0.500, 0.500)
Hf (0.500, 0.000, 0.500)
Hf (0.500, 0.500, 0.000)
Hg (0.250, 0.250, 0.750)
Hg (0.250, 0.750, 0.250)
Hg (0.750, 0.250, 0.250)
Hg (0.750, 0.750, 0.750)
Ge (0.000, 0.000, 0.500)
Ge (0.000, 0.500, 0.000)
Ge (0.250, 0.250, 0.250)
Ge (0.250, 0.750, 0.750)
Ge (0.500, 0.000, 0.000)
Ge (0.500, 0.500, 0.500)
Ge (0.750, 0.250, 0.750)
Ge (0.750, 0.750, 0.250)

Summary:
The calculation puts the total magnetization at 0.0 μB/f.u. The uncorrected energy comes out at -4.627 eV per atom. The calculation puts the volume at 327.5 Å³ per cell. The symmetry is F-43m, No. 216.

=====

Material: HfHg2Ge
Method: DFT, GGA-PBE
State: optimized geometry

Cell: 6.981 6.981 6.981 Å, 90.00 90.00 90.00°
Fractional coordinates of all 16 atoms:
Hf (0.000, 0.000, 0.000)
Hf (0.000, 0.500, 0.500)
Hf (0.500, 0.000, 0.500)
Hf (0.500, 0.500, 0.000)
Hg (0.000, 0.000, 0.500)
Hg (0.000, 0.500, 0.000)
Hg (0.250, 0.250, 0.250)
Hg (0.250, 0.750, 0.750)
Hg (0.500, 0.000, 0.000)
Hg (0.500, 0.500, 0.500)
Hg (0.750, 0.250, 0.750)
Hg (0.750, 0.750, 0.250)
Ge (0.250, 0.250, 0.750)
Ge (0.250, 0.750, 0.250)
Ge (0.750, 0.250, 0.250)
Ge (0.750, 0.750, 0.750)

Summary:
The calculation puts the total magnetization at 0.0 μB/f.u. The uncorrected energy comes out at -3.551 eV per atom. The calculation puts the volume at 340.2 Å³ per cell. The symmetry is F-43m, No. 216.

=====

Material: HfNiHgGe
Method: DFT, GGA-PBE
State: optimized geometry

Cell: 6.529 6.529 6.529 Å, 90.00 90.00 90.00°
Fractional coordinates of all 16 atoms:
Hf (0.000, 0.000, 0.000)
Hf (0.000, 0.500, 0.500)
Hf (0.500, 0.000, 0.500)
Hf (0.500, 0.500, 0.000)
Ni (0.000, 0.000, 0.500)
Ni (0.000, 0.500, 0.000)
Ni (0.500, 0.000, 0.000)
Ni (0.500, 0.500, 0.500)
Hg (0.250, 0.250, 0.750)
Hg (0.250, 0.750, 0.250)
Hg (0.750, 0.250, 0.250)
Hg (0.750, 0.750, 0.750)
Ge (0.250, 0.250, 0.250)
Ge (0.250, 0.750, 0.750)
Ge (0.750, 0.250, 0.750)
Ge (0.750, 0.750, 0.250)

Summary:
The calculation puts the total magnetization at 0.0 μB/f.u. The uncorrected energy comes out at -5.117 eV per atom. The calculation puts the volume at 278.3 Å³ per cell. The symmetry is F-43m, No. 216. Its energy above the most stable polymorph in this dataset is 0.0000 eV per atom.

=====

Material: HfNiHgGe
Method: DFT, GGA-PBE
State: optimized geometry

Cell: 6.571 6.571 6.571 Å, 90.00 90.00 90.00°
Fractional coordinates of all 16 atoms:
Hf (0.000, 0.000, 0.000)
Hf (0.000, 0.500, 0.500)
Hf (0.500, 0.000, 0.500)
Hf (0.500, 0.500, 0.000)
Ni (0.250, 0.250, 0.750)
Ni (0.250, 0.750, 0.250)
Ni (0.750, 0.250, 0.250)
Ni (0.750, 0.750, 0.750)
Hg (0.250, 0.250, 0.250)
Hg (0.250, 0.750, 0.750)
Hg (0.750, 0.250, 0.750)
Hg (0.750, 0.750, 0.250)
Ge (0.000, 0.000, 0.500)
Ge (0.000, 0.500, 0.000)
Ge (0.500, 0.000, 0.000)
Ge (0.500, 0.500, 0.500)

Summary:
The calculation puts the total magnetization at 0.0 μB/f.u. The uncorrected energy comes out at -5.019 eV per atom. The calculation puts the volume at 283.8 Å³ per cell. The symmetry is F-43m, No. 216. Its energy above the most stable polymorph in this dataset is 0.0982 eV per atom.

=====

Material: Ho2HfGe4
Method: DFT, GGA-PBE
State: optimized geometry

Cell: 6.493 6.493 6.908 Å, 90.00 90.00 90.00°
Fractional coordinates of all 14 atoms:
Ho (0.000, 0.500, 0.250)
Ho (0.000, 0.500, 0.750)
Ho (0.500, 0.000, 0.250)
Ho (0.500, 0.000, 0.750)
Hf (0.000, 0.000, 0.000)
Hf (0.500, 0.500, 0.500)
Ge (0.200, 0.200, 0.500)
Ge (0.200, 0.800, 0.500)
Ge (0.300, 0.300, 0.000)
Ge (0.300, 0.700, 0.000)
Ge (0.700, 0.300, 0.000)
Ge (0.700, 0.700, 0.000)
Ge (0.800, 0.200, 0.500)
Ge (0.800, 0.800, 0.500)

Summary:
The calculation puts the total magnetization at 0.0 μB/f.u. The uncorrected energy comes out at -5.741 eV per atom. The calculation puts the volume at 291.2 Å³ per cell. The symmetry is I4/mmm, No. 139.

=====

Material: HfInGe2
Method: DFT, GGA-PBE
State: optimized geometry

Cell: 6.965 6.965 6.965 Å, 90.00 90.00 90.00°
Fractional coordinates of all 16 atoms:
Hf (0.000, 0.000, 0.000)
Hf (0.000, 0.500, 0.500)
Hf (0.500, 0.000, 0.500)
Hf (0.500, 0.500, 0.000)
In (0.250, 0.250, 0.750)
In (0.250, 0.750, 0.250)
In (0.750, 0.250, 0.250)
In (0.750, 0.750, 0.750)
Ge (0.000, 0.000, 0.500)
Ge (0.000, 0.500, 0.000)
Ge (0.250, 0.250, 0.250)
Ge (0.250, 0.750, 0.750)
Ge (0.500, 0.000, 0.000)
Ge (0.500, 0.500, 0.500)
Ge (0.750, 0.250, 0.750)
Ge (0.750, 0.750, 0.250)

Summary:
The calculation puts the total magnetization at 0.0 μB/f.u. The uncorrected energy comes out at -5.196 eV per atom. The calculation puts the volume at 337.9 Å³ per cell. The symmetry is F-43m, No. 216.

=====

Material: HfGeIr2
Method: DFT, GGA-PBE
State: optimized geometry

Cell: 6.400 6.400 6.400 Å, 90.00 90.00 90.00°
Fractional coordinates of all 16 atoms:
Hf (0.000, 0.000, 0.000)
Hf (0.000, 0.500, 0.500)
Hf (0.500, 0.000, 0.500)
Hf (0.500, 0.500, 0.000)
Ge (0.250, 0.250, 0.750)
Ge (0.250, 0.750, 0.250)
Ge (0.750, 0.250, 0.250)
Ge (0.750, 0.750, 0.750)
Ir (0.000, 0.000, 0.500)
Ir (0.000, 0.500, 0.000)
Ir (0.250, 0.250, 0.250)
Ir (0.250, 0.750, 0.750)
Ir (0.500, 0.000, 0.000)
Ir (0.500, 0.500, 0.500)
Ir (0.750, 0.250, 0.750)
Ir (0.750, 0.750, 0.250)

Summary:
The calculation puts the total magnetization at 0.0 μB/f.u. The uncorrected energy comes out at -8.266 eV per atom. The calculation puts the volume at 262.1 Å³ per cell. The symmetry is F-43m, No. 216.

=====

Material: Hf2Ge2Ir
Method: DFT, GGA-PBE
State: optimized geometry

Cell: 6.420 6.420 4.201 Å, 90.00 90.00 90.00°
Fractional coordinates of all 10 atoms:
Hf (0.168, 0.332, 0.000)
Hf (0.332, 0.832, 0.000)
Hf (0.668, 0.168, 0.000)
Hf (0.832, 0.668, 0.000)
Ge (0.138, 0.638, 0.500)
Ge (0.362, 0.138, 0.500)
Ge (0.638, 0.862, 0.500)
Ge (0.862, 0.362, 0.500)
Ir (0.000, 0.000, 0.500)
Ir (0.500, 0.500, 0.500)

Summary:
The calculation puts the total magnetization at 0.0 μB/f.u. The uncorrected energy comes out at -8.321 eV per atom. The calculation puts the volume at 173.1 Å³ per cell. The symmetry is P4/mbm, No. 127.

=====

Material: HfGe2Ir
Method: DFT, GGA-PBE
State: optimized geometry

Cell: 6.517 6.517 6.517 Å, 90.00 90.00 90.00°
Fractional coordinates of all 16 atoms:
Hf (0.000, 0.000, 0.000)
Hf (0.000, 0.500, 0.500)
Hf (0.500, 0.000, 0.500)
Hf (0.500, 0.500, 0.000)
Ge (0.000, 0.000, 0.500)
Ge (0.000, 0.500, 0.000)
Ge (0.250, 0.250, 0.750)
Ge (0.250, 0.750, 0.250)
Ge (0.500, 0.000, 0.000)
Ge (0.500, 0.500, 0.500)
Ge (0.750, 0.250, 0.250)
Ge (0.750, 0.750, 0.750)
Ir (0.250, 0.250, 0.250)
Ir (0.250, 0.750, 0.750)
Ir (0.750, 0.250, 0.750)
Ir (0.750, 0.750, 0.250)

Summary:
The calculation puts the total magnetization at 0.2 μB/f.u. The uncorrected energy comes out at -7.226 eV per atom. The calculation puts the volume at 276.8 Å³ per cell. The symmetry is F-43m, No. 216.

=====

Material: LiHfGeIr
Method: DFT, GGA-PBE
State: optimized geometry

Cell: 6.223 6.223 6.223 Å, 90.00 90.00 90.00°
Fractional coordinates of all 16 atoms:
Li (0.000, 0.000, 0.000)
Li (0.000, 0.500, 0.500)
Li (0.500, 0.000, 0.500)
Li (0.500, 0.500, 0.000)
Hf (0.250, 0.250, 0.250)
Hf (0.250, 0.750, 0.750)
Hf (0.750, 0.250, 0.750)
Hf (0.750, 0.750, 0.250)
Ge (0.000, 0.000, 0.500)
Ge (0.000, 0.500, 0.000)
Ge (0.500, 0.000, 0.000)
Ge (0.500, 0.500, 0.500)
Ir (0.250, 0.250, 0.750)
Ir (0.250, 0.750, 0.250)
Ir (0.750, 0.250, 0.250)
Ir (0.750, 0.750, 0.750)

Summary:
The calculation puts the total magnetization at 0.0 μB/f.u. The uncorrected energy comes out at -6.720 eV per atom. The calculation puts the volume at 241.0 Å³ per cell. The symmetry is F-43m, No. 216. Its energy above the most stable polymorph in this dataset is 0.3552 eV per atom.

=====

Material: LiHfGeIr
Method: DFT, GGA-PBE
State: optimized geometry

Cell: 6.248 6.248 6.248 Å, 90.00 90.00 90.00°
Fractional coordinates of all 16 atoms:
Li (0.000, 0.000, 0.000)
Li (0.000, 0.500, 0.500)
Li (0.500, 0.000, 0.500)
Li (0.500, 0.500, 0.000)
Hf (0.250, 0.250, 0.250)
Hf (0.250, 0.750, 0.750)
Hf (0.750, 0.250, 0.750)
Hf (0.750, 0.750, 0.250)
Ge (0.250, 0.250, 0.750)
Ge (0.250, 0.750, 0.250)
Ge (0.750, 0.250, 0.250)
Ge (0.750, 0.750, 0.750)
Ir (0.000, 0.000, 0.500)
Ir (0.000, 0.500, 0.000)
Ir (0.500, 0.000, 0.000)
Ir (0.500, 0.500, 0.500)

Summary:
The calculation puts the total magnetization at 0.0 μB/f.u. The uncorrected energy comes out at -7.076 eV per atom. The calculation puts the volume at 243.9 Å³ per cell. The symmetry is F-43m, No. 216. Its energy above the most stable polymorph in this dataset is 0.0000 eV per atom.

=====

Material: LiHfGeIr
Method: DFT, GGA-PBE
State: optimized geometry

Cell: 6.249 6.249 6.249 Å, 90.00 90.00 90.00°
Fractional coordinates of all 16 atoms:
Li (0.000, 0.000, 0.000)
Li (0.000, 0.500, 0.500)
Li (0.500, 0.000, 0.500)
Li (0.500, 0.500, 0.000)
Hf (0.250, 0.250, 0.750)
Hf (0.250, 0.750, 0.250)
Hf (0.750, 0.250, 0.250)
Hf (0.750, 0.750, 0.750)
Ge (0.250, 0.250, 0.250)
Ge (0.250, 0.750, 0.750)
Ge (0.750, 0.250, 0.750)
Ge (0.750, 0.750, 0.250)
Ir (0.000, 0.000, 0.500)
Ir (0.000, 0.500, 0.000)
Ir (0.500, 0.000, 0.000)
Ir (0.500, 0.500, 0.500)

Summary:
The calculation puts the total magnetization at 0.0 μB/f.u. The uncorrected energy comes out at -7.075 eV per atom. The calculation puts the volume at 244.1 Å³ per cell. The symmetry is F-43m, No. 216. Its energy above the most stable polymorph in this dataset is 0.0001 eV per atom.

=====

Material: LiHfGeIr
Method: DFT, GGA-PBE
State: optimized geometry

Cell: 6.347 6.347 6.347 Å, 90.00 90.00 90.00°
Fractional coordinates of all 16 atoms:
Li (0.000, 0.000, 0.000)
Li (0.000, 0.500, 0.500)
Li (0.500, 0.000, 0.500)
Li (0.500, 0.500, 0.000)
Hf (0.000, 0.000, 0.500)
Hf (0.000, 0.500, 0.000)
Hf (0.500, 0.000, 0.000)
Hf (0.500, 0.500, 0.500)
Ge (0.250, 0.250, 0.250)
Ge (0.250, 0.750, 0.750)
Ge (0.750, 0.250, 0.750)
Ge (0.750, 0.750, 0.250)
Ir (0.250, 0.250, 0.750)
Ir (0.250, 0.750, 0.250)
Ir (0.750, 0.250, 0.250)
Ir (0.750, 0.750, 0.750)

Summary:
The calculation puts the total magnetization at 0.0 μB/f.u. The uncorrected energy comes out at -6.838 eV per atom. The calculation puts the volume at 255.7 Å³ per cell. The symmetry is F-43m, No. 216. Its energy above the most stable polymorph in this dataset is 0.2373 eV per atom.

=====

Material: Li2Hf2Ge2IrPd
Method: DFT, GGA-PBE
State: optimized geometry

Cell: 4.468 4.468 6.255 Å, 90.00 90.00 90.00°
Fractional coordinates of all 8 atoms:
Li (0.000, 0.000, 0.000)
Li (0.500, 0.500, 0.500)
Hf (0.000, 0.500, 0.746)
Hf (0.500, 0.000, 0.254)
Ge (0.000, 0.500, 0.244)
Ge (0.500, 0.000, 0.756)
Ir (0.000, 0.000, 0.500)
Pd (0.500, 0.500, 0.000)

Summary:
The calculation puts the total magnetization at 0.0 μB/f.u. The uncorrected energy comes out at -6.434 eV per atom. The calculation puts the volume at 124.9 Å³ per cell. The symmetry is P-4m2, No. 115.

=====

Material: Li2Hf2SiGeIr2
Method: DFT, GGA-PBE
State: optimized geometry

Cell: 4.394 4.394 6.220 Å, 90.00 90.00 90.00°
Fractional coordinates of all 8 atoms:
Li (0.000, 0.500, 0.248)
Li (0.500, 0.000, 0.752)
Hf (0.000, 0.000, 0.000)
Hf (0.500, 0.500, 0.500)
Si (0.500, 0.500, 0.000)
Ge (0.000, 0.000, 0.500)
Ir (0.000, 0.500, 0.756)
Ir (0.500, 0.000, 0.244)

Summary:
The calculation puts the total magnetization at 0.0 μB/f.u. The uncorrected energy comes out at -7.210 eV per atom. The calculation puts the volume at 120.1 Å³ per cell. The symmetry is P-4m2, No. 115.

=====

Material: Li2HfZnGe2Ir2
Method: DFT, GGA-PBE
State: optimized geometry

Cell: 4.346 4.346 6.273 Å, 90.00 90.00 90.00°
Fractional coordinates of all 8 atoms:
Li (0.000, 0.500, 0.212)
Li (0.500, 0.000, 0.788)
Hf (0.000, 0.000, 0.500)
Zn (0.500, 0.500, 0.000)
Ge (0.000, 0.000, 0.000)
Ge (0.500, 0.500, 0.500)
Ir (0.000, 0.500, 0.746)
Ir (0.500, 0.000, 0.254)

Summary:
The calculation puts the total magnetization at 0.0 μB/f.u. The uncorrected energy comes out at -5.778 eV per atom. The calculation puts the volume at 118.5 Å³ per cell. The symmetry is P-4m2, No. 115.

=====

Material: Li2HfZrGe2Ir2
Method: DFT, GGA-PBE
State: optimized geometry

Cell: 4.432 4.432 6.269 Å, 90.00 90.00 90.00°
Fractional coordinates of all 8 atoms:
Li (0.000, 0.500, 0.250)
Li (0.500, 0.000, 0.750)
Hf (0.000, 0.000, 0.500)
Zr (0.500, 0.500, 0.000)
Ge (0.000, 0.000, 0.000)
Ge (0.500, 0.500, 0.500)
Ir (0.000, 0.500, 0.748)
Ir (0.500, 0.000, 0.252)

Summary:
The calculation puts the total magnetization at 0.0 μB/f.u. The uncorrected energy comes out at -6.905 eV per atom. The calculation puts the volume at 123.2 Å³ per cell. The symmetry is P-4m2, No. 115.

=====

Material: HfNiGeIr
Method: DFT, GGA-PBE
State: optimized geometry

Cell: 6.311 6.311 6.311 Å, 90.00 90.00 90.00°
Fractional coordinates of all 16 atoms:
Hf (0.000, 0.000, 0.000)
Hf (0.000, 0.500, 0.500)
Hf (0.500, 0.000, 0.500)
Hf (0.500, 0.500, 0.000)
Ni (0.000, 0.000, 0.500)
Ni (0.000, 0.500, 0.000)
Ni (0.500, 0.000, 0.000)
Ni (0.500, 0.500, 0.500)
Ge (0.250, 0.250, 0.250)
Ge (0.250, 0.750, 0.750)
Ge (0.750, 0.250, 0.750)
Ge (0.750, 0.750, 0.250)
Ir (0.250, 0.250, 0.750)
Ir (0.250, 0.750, 0.250)
Ir (0.750, 0.250, 0.250)
Ir (0.750, 0.750, 0.750)

Summary:
The calculation puts the total magnetization at 0.0 μB/f.u. The uncorrected energy comes out at -7.513 eV per atom. The calculation puts the volume at 251.3 Å³ per cell. The symmetry is F-43m, No. 216.

=====

Material: HfSc2Ge3Ir3
Method: DFT, GGA-PBE
State: optimized geometry

Cell: 3.938 6.637 6.637 Å, 120.07 90.00 90.00°
Fractional coordinates of all 9 atoms:
Hf (0.000, 0.000, 0.000)
Sc (0.000, 0.153, 0.576)
Sc (0.000, 0.576, 0.153)
Ge (0.000, 0.574, 0.574)
Ge (0.500, 0.245, 0.908)
Ge (0.500, 0.908, 0.245)
Ir (0.500, 0.328, 0.328)
Ir (0.500, 0.580, 0.823)
Ir (0.500, 0.823, 0.580)

Summary:
The calculation puts the total magnetization at 0.0 μB/f.u. The uncorrected energy comes out at -7.917 eV per atom. The calculation puts the volume at 150.1 Å³ per cell. The symmetry is Amm2, No. 38.

=====

Material: LaHfGe
Method: DFT, GGA-PBE
State: optimized geometry

Cell: 6.723 6.723 6.723 Å, 90.00 90.00 90.00°
Fractional coordinates of all 12 atoms:
La (0.000, 0.000, 0.000)
La (0.000, 0.500, 0.500)
La (0.500, 0.000, 0.500)
La (0.500, 0.500, 0.000)
Hf (0.250, 0.250, 0.750)
Hf (0.250, 0.750, 0.250)
Hf (0.750, 0.250, 0.250)
Hf (0.750, 0.750, 0.750)
Ge (0.000, 0.000, 0.500)
Ge (0.000, 0.500, 0.000)
Ge (0.500, 0.000, 0.000)
Ge (0.500, 0.500, 0.500)

Summary:
The calculation puts the total magnetization at 0.0 μB/f.u. The uncorrected energy comes out at -6.141 eV per atom. The calculation puts the volume at 303.9 Å³ per cell. The symmetry is F-43m, No. 216. Its energy above the most stable polymorph in this dataset is 0.0000 eV per atom.